Entry 1:
Below is crystalline CaPAu at its relaxed geometry, with properties calculated at the GGA-PBE level.

Values from the calculation:
As for the density: 5.7 g/cm³. Its formation enthalpy at 0 K is -0.7564 eV per atom.

Unit cell a=4.656 b=4.729 c=7.585 alpha=101.30 beta=94.11 gamma=106.31
Space group P-1 (No. 2)
Asymmetric unit:
Ca1 0.111 0.300 0.304 [2 per cell]
P1 0.262 0.305 0.697 [2 per cell]
Au1 0.500 0.000 0.500 [1 per cell]
Au2 0.500 0.500 0.000 [1 per cell]

***

Entry 2:
Below is crystalline MnNiW2Se at its relaxed geometry, with properties calculated at the GGA-PBE level.

Values from the calculation:
As for the density: 10.7 g/cm³. For the final energy, the calculation gives -7.46 eV per atom.

Unit cell a=4.500 b=4.500 c=4.298 alpha=90.00 beta=90.00 gamma=90.00
Space group P4/mmm (No. 123)
Asymmetric unit:
Mn1 0.000 0.000 0.000 [1 per cell]
Ni1 0.000 0.000 0.500 [1 per cell]
W1 0.000 0.500 0.000 [2 per cell]
Se1 0.500 0.500 0.500 [1 per cell]

***

Entry 3:
Below is crystalline ZnRu2Rh at its relaxed geometry, with properties calculated at the GGA-PBE level.

Values from the calculation:
As for the density: 10.8 g/cm³. Its formation enthalpy at 0 K is 0.1917 eV per atom.

Unit cell a=6.111 b=6.111 c=6.111 alpha=90.00 beta=90.00 gamma=90.00
Space group F-43m (No. 216)
Asymmetric unit:
Zn1 0.000 0.000 0.000 [4 per cell]
Ru1 0.000 0.000 0.500 [4 per cell]
Ru2 0.250 0.250 0.250 [4 per cell]
Rh1 0.250 0.250 0.750 [4 per cell]

***

Entry 4:
Below is crystalline AcAl2Au at its relaxed geometry, with properties calculated at the GGA-PBE level.

Values from the calculation:
As for the density: 8.7 g/cm³. Its formation enthalpy at 0 K is -0.5300 eV per atom.

Unit cell a=4.804 b=10.880 c=7.019 alpha=90.00 beta=90.00 gamma=90.00
Space group Cmcm (No. 63)
Asymmetric unit:
Ac1 0.000 0.086 0.250 [4 per cell]
Al1 0.000 0.373 0.057 [8 per cell]
Au1 0.000 0.208 0.750 [4 per cell]

***

Entry 5:
Below is crystalline Tb2SmYHo2 at its relaxed geometry, with properties calculated at the GGA-PBE level.

Values from the calculation:
As for the density: 7.5 g/cm³. Its formation enthalpy at 0 K is 0.2750 eV per atom.

Unit cell a=6.589 b=17.722 c=3.386 alpha=90.00 beta=90.00 gamma=90.00
Space group Pnnm (No. 58)
Asymmetric unit:
Tb1 0.231 0.184 0.000 [4 per cell]
Sm1 0.000 0.500 0.000 [2 per cell]
Y1 0.000 0.000 0.000 [2 per cell]
Ho1 0.230 0.351 0.500 [4 per cell]

***

Entry 6:
Below is crystalline SrLaEuDy at its relaxed geometry, with properties calculated at the GGA-PBE level.

Values from the calculation:
As for the density: 5.6 g/cm³. Its formation enthalpy at 0 K is 0.1928 eV per atom.

Unit cell a=8.608 b=8.608 c=8.608 alpha=90.00 beta=90.00 gamma=90.00
Space group F-43m (No. 216)
Asymmetric unit:
Sr1 0.000 0.000 0.000 [4 per cell]
La1 0.250 0.250 0.250 [4 per cell]
Eu1 0.250 0.250 0.750 [4 per cell]
Dy1 0.000 0.000 0.500 [4 per cell]

***

Entry 7:
Below is crystalline AcTh4Sn15 at its relaxed geometry, with properties calculated at the GGA-PBE level.

Values from the calculation:
As for the density: 8.9 g/cm³. Its formation enthalpy at 0 K is -0.4516 eV per atom.

Unit cell a=4.797 b=4.797 c=23.833 alpha=90.00 beta=90.00 gamma=90.00
Space group P4/mmm (No. 123)
Asymmetric unit:
Ac1 0.000 0.000 0.000 [1 per cell]
Th1 0.000 0.000 0.206 [2 per cell]
Th2 0.000 0.000 0.402 [2 per cell]
Sn1 0.000 0.500 0.106 [4 per cell]
Sn2 0.000 0.500 0.304 [4 per cell]
Sn3 0.000 0.500 0.500 [2 per cell]
Sn4 0.500 0.500 0.000 [1 per cell]
Sn5 0.500 0.500 0.204 [2 per cell]
Sn6 0.500 0.500 0.402 [2 per cell]

***

Entry 8:
Below is crystalline TbPrO4 at its relaxed geometry, with properties calculated at the GGA-PBE level.

Values from the calculation:
As for the density: 6.9 g/cm³. For the final energy, the calculation gives -7.52 eV per atom.

Unit cell a=5.794 b=5.794 c=10.417 alpha=90.00 beta=90.00 gamma=90.00
Space group I4_1/amd (No. 141, origin choice 2)
Asymmetric unit:
Tb1 0.000 0.250 0.375 [4 per cell]
Pr1 0.000 0.250 0.875 [4 per cell]
O1 0.240 0.000 0.500 [16 per cell]

***

Entry 9:
Below is crystalline Ca2BeNiH at its relaxed geometry, with properties calculated at the GGA-PBE level.

Values from the calculation:
As for the density: 2.6 g/cm³. For the final energy, the calculation gives -3.02 eV per atom.

Unit cell a=5.421 b=5.421 c=3.292 alpha=90.00 beta=90.00 gamma=90.00
Space group P4/mmm (No. 123)
Asymmetric unit:
Ca1 0.000 0.500 0.000 [2 per cell]
Be1 0.000 0.000 0.500 [1 per cell]
Ni1 0.500 0.500 0.000 [1 per cell]
H1 0.500 0.500 0.500 [1 per cell]

***

Entry 10:
Below is crystalline ZnSn2HgH at its relaxed geometry, with properties calculated at the GGA-PBE level.

Values from the calculation:
As for the density: 8.1 g/cm³. For the final energy, the calculation gives -2.41 eV per atom.

Unit cell a=5.554 b=5.554 c=3.372 alpha=90.00 beta=90.00 gamma=90.00
Space group P4/mmm (No. 123)
Asymmetric unit:
Zn1 0.000 0.000 0.000 [1 per cell]
Sn1 0.000 0.500 0.000 [2 per cell]
Hg1 0.500 0.500 0.500 [1 per cell]
H1 0.000 0.000 0.500 [1 per cell]

***

Entry 11:
Below is crystalline ScCd2Cl at its relaxed geometry, with properties calculated at the GGA-PBE level.

Values from the calculation:
As for the density: 5.1 g/cm³. For the final energy, the calculation gives -2.45 eV per atom.

Unit cell a=7.347 b=7.347 c=7.347 alpha=90.00 beta=90.00 gamma=90.00
Space group Fm-3m (No. 225)
Asymmetric unit:
Sc1 0.000 0.000 0.000 [4 per cell]
Cd1 0.250 0.250 0.250 [8 per cell]
Cl1 0.000 0.000 0.500 [4 per cell]

***

Entry 12:
Below is crystalline NaTbPd6O8 at its relaxed geometry, with properties calculated at the GGA-PBE level.

Values from the calculation:
As for the density: 7.9 g/cm³. For the final energy, the calculation gives -5.89 eV per atom.

Unit cell a=5.834 b=5.834 c=5.834 alpha=90.00 beta=90.00 gamma=90.00
Space group Pm-3 (No. 200)
Asymmetric unit:
Na1 0.000 0.000 0.000 [1 per cell]
Tb1 0.500 0.500 0.500 [1 per cell]
Pd1 0.000 0.249 0.500 [6 per cell]
O1 0.259 0.259 0.259 [8 per cell]